(1)
An optimized crystal structure of InGaS2, computed with GGA-PBEsol.

It has space group Fm-3m (No. 225), with a = 6.637 Å, b = 6.637 Å, c = 6.637 Å, α = 90.00°, β = 90.00° and γ = 90.00°. The asymmetric unit holds In at (0.000, 0.000, 0.000), Ga at (0.000, 0.000, 0.500) and S at (0.250, 0.250, 0.250).

Its calculated volume is 292 Å³/cell. The formation energy (no corrections) comes out at -0.62 eV/f.u.


(2)
An optimized crystal structure of LiLaTa2, computed with GGA-PBEsol.

It has space group Cm (No. 8), with a = 9.498 Å, b = 2.895 Å, c = 6.079 Å, α = 90.00°, β = 94.34° and γ = 90.00°. The asymmetric unit holds Li at (0.000, 0.000, 0.000), La at (0.253, 0.500, 0.272), Ta at (0.018, 0.500, 0.585) and Ta at (0.259, 0.000, 0.757).

Its calculated volume is 167 Å³/cell. For the energy above the most stable polymorph in this dataset, the calculation gives 0.718 eV/f.u. As for the formation energy: 0.524 eV per atom.


(3)
An optimized crystal structure of CaFeCu, computed with GGA-PBEsol.

It has space group F-43m (No. 216), with a = 6.123 Å, b = 6.123 Å, c = 6.123 Å, α = 90.00°, β = 90.00° and γ = 90.00°. The asymmetric unit holds Ca at (0.000, 0.000, 0.000), Fe at (0.250, 0.250, 0.250) and Cu at (0.000, 0.000, 0.500).

Its calculated volume is 230 Å³/cell. As for the formation energy: 0.789 eV per atom.


(4)
An optimized crystal structure of TaCd2Os, computed with GGA-PBEsol.

It has space group Cmm2 (No. 35), with a = 3.094 Å, b = 4.744 Å, c = 9.706 Å, α = 90.00°, β = 90.00° and γ = 90.00°. The asymmetric unit holds Ta at (0.000, 0.000, 0.000), Cd at (0.000, 0.000, 0.537), Cd at (0.000, 0.500, 0.263) and Os at (0.000, 0.500, 0.787).

Its calculated volume is 142 Å³/cell. For the energy above the most stable polymorph in this dataset, the calculation gives 0.521 eV/f.u. As for the formation energy: 0.243 eV per atom.


(5)
An optimized crystal structure of LaZn2Tc, computed with GGA-PBEsol.

It has space group I-4m2 (No. 119), with a = 4.335 Å, b = 4.335 Å, c = 7.737 Å, α = 90.00°, β = 90.00° and γ = 90.00°. The asymmetric unit holds La at (0.000, 0.000, 0.000), Zn at (0.000, 0.000, 0.500), Zn at (0.000, 0.500, 0.750) and Tc at (0.000, 0.500, 0.250).

Its calculated volume is 145 Å³/cell. For the energy above the most stable polymorph in this dataset, the calculation gives 0.839 eV/f.u. As for the formation energy: 0.297 eV per atom.


(6)
An optimized crystal structure of Ba2ScCo, computed with GGA-PBEsol.

It has space group I4/mmm (No. 139), with a = 4.603 Å, b = 4.603 Å, c = 10.502 Å, α = 90.00°, β = 90.00° and γ = 90.00°. The asymmetric unit holds Ba at (0.000, 0.500, 0.250), Sc at (0.000, 0.000, 0.000) and Co at (0.000, 0.000, 0.500).

Its calculated volume is 222 Å³/cell. For the energy above the most stable polymorph in this dataset, the calculation gives 0.642 eV/f.u. As for the formation energy: 0.769 eV per atom.


(7)
An optimized crystal structure of PdRuN2F, computed with GGA-PBEsol.

It has space group P4/mmm (No. 123), with a = 3.873 Å, b = 3.873 Å, c = 3.963 Å, α = 90.00°, β = 90.00° and γ = 90.00°. The asymmetric unit holds Pd at (0.000, 0.000, 0.000), Ru at (0.500, 0.500, 0.500), N at (0.000, 0.500, 0.000) and F at (0.000, 0.000, 0.500).

Its calculated volume is 59 Å³/cell. The formation energy (no corrections) comes out at 7.08 eV/f.u.


(8)
An optimized crystal structure of SrZnAs2, computed with GGA-PBEsol.

It has space group P4mm (No. 99), with a = 3.692 Å, b = 3.692 Å, c = 6.571 Å, α = 90.00°, β = 90.00° and γ = 90.00°. The asymmetric unit holds Sr at (0.000, 0.000, 0.000), Zn at (0.500, 0.500, 0.298), As at (0.000, 0.000, 0.525) and As at (0.500, 0.500, 0.676).

Its calculated volume is 90 Å³/cell. As for the formation energy: -0.233 eV per atom.


(9)
An optimized crystal structure of TiAsSe2, computed with GGA-PBEsol.

It has space group I-42d (No. 122), with a = 7.024 Å, b = 7.024 Å, c = 6.396 Å, α = 90.00°, β = 90.00° and γ = 90.00°. The asymmetric unit holds Ti at (0.000, 0.000, 0.000), As at (0.000, 0.000, 0.500) and Se at (0.232, 0.750, 0.125).

Its calculated volume is 316 Å³/cell. The formation energy (no corrections) comes out at -0.87 eV/f.u.


(10)
An optimized crystal structure of La2IrAu, computed with GGA-PBEsol.

It has space group F-43m (No. 216), with a = 6.955 Å, b = 6.955 Å, c = 6.955 Å, α = 90.00°, β = 90.00° and γ = 90.00°. The asymmetric unit holds La at (0.000, 0.000, 0.000), La at (0.250, 0.250, 0.250), Ir at (0.000, 0.000, 0.500) and Au at (0.250, 0.250, 0.750).

Its calculated volume is 336 Å³/cell. As for the formation energy: -0.488 eV per atom.


(11)
An optimized crystal structure of TaBeIN2, computed with GGA-PBEsol.

It has space group P4/mmm (No. 123), with a = 3.961 Å, b = 3.961 Å, c = 5.763 Å, α = 90.00°, β = 90.00° and γ = 90.00°. The asymmetric unit holds Ta at (0.000, 0.000, 0.000), Be at (0.500, 0.500, 0.500), I at (0.000, 0.000, 0.500) and N at (0.000, 0.500, 0.000).

Its calculated volume is 90 Å³/cell. The formation energy (no corrections) comes out at 2.85 eV/f.u.


(12)
An optimized crystal structure of MgAlAg2, computed with GGA-PBEsol.

It has space group C2/m (No. 12), with a = 5.742 Å, b = 8.695 Å, c = 2.862 Å, α = 90.00°, β = 108.43° and γ = 90.00°. The asymmetric unit holds Mg at (0.000, 0.000, 0.000), Al at (0.000, 0.500, 0.000) and Ag at (0.250, 0.250, 0.500).

Its calculated volume is 136 Å³/cell. For the energy above the most stable polymorph in this dataset, the calculation gives 0.482 eV/f.u. As for the formation energy: -0.082 eV per atom.


(13)
An optimized crystal structure of Y2ReRu, computed with GGA-PBEsol.

It has space group C2/m (No. 12), with a = 8.780 Å, b = 3.109 Å, c = 5.756 Å, α = 90.00°, β = 99.39° and γ = 90.00°. The asymmetric unit holds Y at (0.247, 0.000, 0.246), Re at (0.000, 0.000, 0.500) and Ru at (0.000, 0.500, 0.000).

Its calculated volume is 155 Å³/cell. For the energy above the most stable polymorph in this dataset, the calculation gives 1.701 eV/f.u. As for the formation energy: 0.444 eV per atom.


(14)
An optimized crystal structure of HCl, computed with GGA-PBEsol.

It has space group I4mm (No. 107), with a = 3.823 Å, b = 3.823 Å, c = 5.167 Å, α = 90.00°, β = 90.00° and γ = 90.00°. The asymmetric unit holds H at (0.000, 0.000, 0.000) and Cl at (0.000, 0.000, 0.749).

Its calculated volume is 76 Å³/cell.


Number 1: total DFT energy (no corrections) -62.84 eV/cell, total magnetic moment 0.0 μB/f.u., D(E_F) 4.8 states/eV/cell. Number 2: total DFT energy (no corrections) -60.64 eV/cell, total magnetic moment 0.0 μB/f.u., D(E_F) 8.2 states/eV/cell. Number 3: total DFT energy (no corrections) -52.26 eV/cell, total magnetic moment 2.5 μB/f.u., D(E_F) 14.7 states/eV/cell. Number 4: total DFT energy (no corrections) -52.38 eV/cell, total magnetic moment 0.0 μB/f.u., D(E_F) 6.5 states/eV/cell. Number 5: total DFT energy (no corrections) -37.18 eV/cell, total magnetic moment 0.0 μB/f.u., D(E_F) 5.8 states/eV/cell. Number 6: total DFT energy (no corrections) -31.13 eV/cell, total magnetic moment 0.2 μB/f.u., D(E_F) 10.9 states/eV/cell. Number 7: total DFT energy (no corrections) -28.04 eV/cell, total magnetic moment 2.3 μB/f.u., D(E_F) 4.8 states/eV/cell. Number 8: total DFT energy (no corrections) -14.57 eV/cell, total magnetic moment 0.0 μB/f.u., D(E_F) 1.5 states/eV/cell. Number 9: total DFT energy (no corrections) -88.01 eV/cell, total magnetic moment 0.0 μB/f.u., D(E_F) 12.5 states/eV/cell. Number 10: total DFT energy (no corrections) -105.57 eV/cell, total magnetic moment 0.0 μB/f.u., D(E_F) 15.2 states/eV/cell. Number 11: total DFT energy (no corrections) -32.52 eV/cell, total magnetic moment 0.0 μB/f.u., D(E_F) 2.1 states/eV/cell. Number 12: total DFT energy (no corrections) -25.52 eV/cell, total magnetic moment 0.0 μB/f.u., D(E_F) 2.0 states/eV/cell. Number 13: total DFT energy (no corrections) -70.75 eV/cell, total magnetic moment 0.0 μB/f.u., D(E_F) 7.8 states/eV/cell. Number 14: total DFT energy (no corrections) -12.44 eV/cell, total magnetic moment 0.0 μB/f.u., D(E_F) 0.0 states/eV/cell.